Compound: Zr2ScIn
Source: Alexandria via LeMat-Bulk
Functional: PBE
Structure: relaxed

Cell: 4.3795 4.3795 9.3928 Å, 90.00 90.00 90.00°
With the nearest neighbours (Å) after each atom.
Space group I4/mmm (No. 139)
Symmetry-distinct sites (fractional):
1 Zr 0.0000 0.5000 0.2500  4 Zr 3.10, 4 In 3.21, 4 Sc 3.21
2 Sc 0.0000 0.0000 0.0000  4 In 3.10, 8 Zr 3.21
3 In 0.0000 0.0000 0.5000  4 Sc 3.10, 8 Zr 3.21

Summary:
Density of states at the Fermi level, states/eV/f.u.: 4.55
Energy relative to the elements, eV per atom: -0.247
Magnetic moment, μB per cell: 0.00